First-principles (PBE-GGA) data for a geometry-optimized GdDy2Tm structure, as listed in Alexandria.

The structure belongs to space group P4/mmm (No. 123); the cell edges are 3.534, 3.534 and 10.020 Å and the angles 90.00°, 90.00° and 90.00°. The asymmetric unit holds Gd at (0.000, 0.000, 0.000), Dy at (0.500, 0.500, 0.254) and Tm at (0.000, 0.000, 0.500).

Its density is 8.6 g/cm³. The value obtained for the formation energy is 0.55 kcal/mol of atoms. The value obtained for the energy above the most stable polymorph in this dataset is 0.003 eV/atom. Its magnetization is 7.2 μB/cell.